A relaxed SrTl2Pb crystal, computed with GGA-PBE.

Cell lengths 5.8778, 5.8778, 5.8778 Å; angles 125.98, 125.91, 79.98 degrees
Sites, in units of the cell vectors:
Pb (0.7500, 0.2500, 0.5000)
Sr (0.2500, 0.7500, 0.5000)
Tl (0.0000, 0.0000, 0.0000)
Tl (0.5000, 0.5000, 0.0000)

Total magnetic moment   0.00 μB/cell
Formation energy   -289 meV per atom
Crystal system   tetragonal

***

A relaxed HoTm6Mg crystal, computed with GGA-PBE.

Cell lengths 8.4186, 9.2428, 6.2534 Å; angles 42.26, 47.67, 56.61 degrees
Sites, in units of the cell vectors:
Ho (0.5000, 0.5000, 0.5000)
Tm (0.9539, 0.5184, 0.7717)
Tm (0.7562, 0.9543, 0.8082)
Tm (0.5184, 0.2436, 0.2843)
Tm (0.2438, 0.0457, 0.1918)
Tm (0.0461, 0.4816, 0.2283)
Tm (0.4816, 0.7564, 0.7157)
Mg (0.0000, 0.0000, 0.0000)

Total magnetic moment   0.00 μB/cell
Formation energy   147 meV per atom
Crystal system   triclinic
Energy relative to the lowest polymorph listed for this composition   107.8 meV/atom

***

A relaxed La2PrSmBi4 crystal, computed with GGA-PBE.

Cell lengths 4.6570, 8.0560, 8.0599 Å; angles 70.52, 90.00, 90.00 degrees
Sites, in units of the cell vectors:
La (0.0000, 0.0000, 0.0000)
La (0.5000, 0.0000, 0.5000)
Pr (0.5000, 0.5000, 0.0000)
Sm (0.0000, 0.5000, 0.5000)
Bi (0.0000, 0.7460, 0.7489)
Bi (0.0000, 0.2540, 0.2511)
Bi (0.5000, 0.7445, 0.2541)
Bi (0.5000, 0.2555, 0.7459)

Total magnetic moment   0.00 μB/cell
Formation energy   -999 meV per atom
Crystal system   monoclinic

***

A relaxed PmZr2Ru3 crystal, computed with GGA-PBE.

Cell lengths 3.3207, 3.3207, 10.2140 Å; angles 90.00, 90.00, 90.00 degrees
Sites, in units of the cell vectors:
Pm (0.5000, 0.5000, 0.5000)
Zr (0.5000, 0.5000, 0.8384)
Zr (0.5000, 0.5000, 0.1616)
Ru (0.0000, 0.0000, 0.0000)
Ru (0.0000, 0.0000, 0.6893)
Ru (0.0000, 0.0000, 0.3107)

Total magnetic moment   0.00 μB/cell
Formation energy   -481 meV per atom
Crystal system   tetragonal